ThMg2WO8 | PBE+U | relaxed

Structure (extended XYZ):
```
12
Lattice="-3.8233 0.7743 2.6598 0.5033 -4.3441 1.7606 3.9488 2.4670 4.9577" Properties=species:S:1:pos:R:3 pbc="T T T"
Mg 1.4647 0.1673 6.1330
Mg -0.8359 -1.2701 3.2451
O 2.7497 -1.4532 5.7752
O 0.6927 -0.1307 4.1783
O -2.1210 0.3504 3.6030
O -0.0639 -0.9721 5.1998
O 0.0604 1.7132 6.3415
O 1.5875 -0.0813 8.1062
O -0.9587 -1.0215 1.2719
O 0.5684 -2.8161 3.0366
W 0.0000 0.0000 0.0000
Th 1.9744 1.2335 2.4789
```

Total DFT energy (no corrections) ... -7.162 eV/atom
M_tot ... 0.000 μB/atom